[1]
RbSb3W PBE relaxed; energy above the lowest structure with this stoichiometry = 2446.8 meV/atom; ΔE_f (raw) = 2759 meV per atom; final energy = -2.50 eV/atom
1.0
5.6751 0.0000 0.0000
0.0000 5.6751 0.0000
0.0000 0.0000 5.6751
Rb Sb W
1 3 1
Direct
0.0000 0.0000 0.0000 Rb
0.5000 0.0000 0.0000 Sb
0.0000 0.0000 0.5000 Sb
0.0000 0.5000 0.0000 Sb
0.5000 0.5000 0.5000 W

***

[2]
RbSbW2 PBE relaxed; ΔE_f (raw) = 1492 meV per atom; final energy = -6.26 eV/atom
1.0
4.9812 0.0000 0.0000
0.0000 4.9812 0.0000
2.4906 2.4906 9.8687
W Rb Sb
4 2 2
Direct
0.8745 0.6250 0.2500 W
0.3750 0.1245 0.7500 W
0.8755 0.1250 0.2500 W
0.8750 0.1255 0.7500 W
0.5000 0.5000 0.0000 Rb
0.2500 0.7500 0.5000 Rb
0.0000 0.0000 0.0000 Sb
0.7500 0.2500 0.5000 Sb